1.
Below is a relaxed Rb2LiCuF6 crystal, with properties calculated at the PBE-GGA level.

Computed properties:
The calculation puts the calculated total energy at -4.1012 eV per atom. The space group is I4/m, No. 87.

abc: 5.634 5.634 5.634
angles: 120.11 120.11 89.81
Sites, in units of the cell vectors:
Rb 0.250 0.750 0.500
Rb 0.750 0.250 0.500
Li 0.000 0.000 0.000
Cu 0.500 0.500 0.000
F 0.256 0.257 0.513
F 0.257 0.744 0.002
F 0.258 0.258 0.000
F 0.742 0.742 0.000
F 0.743 0.256 0.998
F 0.744 0.743 0.487


2.
Below is a relaxed MgCuF4 crystal, with properties calculated at the PBE-GGA level.

Computed properties:
The calculation puts the calculated total energy at -4.4940 eV per atom. The space group is I4/mcm, No. 140.

abc: 6.034 6.034 6.034
angles: 131.52 131.52 70.99
Sites, in units of the cell vectors:
Mg 0.250 0.250 0.000
Mg 0.750 0.750 0.000
Cu 0.000 0.500 0.500
Cu 0.500 0.000 0.500
F 0.057 0.557 0.886
F 0.171 0.057 0.500
F 0.329 0.829 0.886
F 0.443 0.329 0.500
F 0.557 0.671 0.500
F 0.671 0.171 0.114
F 0.829 0.943 0.500
F 0.943 0.443 0.114


3.
Below is a relaxed Mg2CuTe2F2 crystal, with properties calculated at the PBE-GGA level.

Computed properties:
The calculation puts the calculated total energy at -3.9801 eV per atom. The space group is P-4m2, No. 115.

abc: 3.660 3.660 9.324
angles: 90.00 90.00 90.00
Sites, in units of the cell vectors:
Mg 0.000 0.500 0.121
Mg 0.500 0.000 0.879
Cu 0.500 0.500 0.500
Te 0.000 0.500 0.691
Te 0.500 0.000 0.309
F 0.000 0.000 0.000
F 0.500 0.500 0.000


4.
Below is a relaxed NaCu4F12 crystal, with properties calculated at the PBE-GGA level.

Computed properties:
The calculation puts the calculated total energy at -3.7868 eV per atom. The space group is Im-3, No. 204.

abc: 6.257 6.257 6.257
angles: 109.47 109.47 109.47
Sites, in units of the cell vectors:
Na 0.000 0.000 0.000
Cu 0.000 0.000 0.500
Cu 0.000 0.500 0.000
Cu 0.500 0.000 0.000
Cu 0.500 0.500 0.500
F 0.110 0.815 0.295
F 0.185 0.295 0.481
F 0.185 0.705 0.890
F 0.295 0.110 0.815
F 0.295 0.481 0.185
F 0.481 0.185 0.295
F 0.519 0.815 0.705
F 0.705 0.519 0.815
F 0.705 0.890 0.185
F 0.815 0.295 0.110
F 0.815 0.705 0.519
F 0.890 0.185 0.705


5.
Below is a relaxed Na2CuF4 crystal, with properties calculated at the PBE-GGA level.

Computed properties:
The space group is I4/mmm, No. 139. For the energy above the most stable polymorph in this dataset, the calculation gives 0.025 eV per atom.

abc: 6.443 6.443 6.443
angles: 145.41 145.41 49.72
Sites, in units of the cell vectors:
Na 0.144 0.144 0.000
Na 0.856 0.856 0.000
Cu 0.500 0.500 0.000
F 0.000 0.500 0.500
F 0.327 0.327 0.000
F 0.500 0.000 0.500
F 0.673 0.673 0.000


6.
Below is a relaxed Na2CuF4 crystal, with properties calculated at the PBE-GGA level.

Computed properties:
The space group is P2_1/c, No. 14. For the energy above the most stable polymorph in this dataset, the calculation gives 0.000 eV per atom.

abc: 3.237 5.493 9.427
angles: 90.00 92.02 90.00
Sites, in units of the cell vectors:
Na 0.229 0.043 0.154
Na 0.229 0.457 0.654
Na 0.771 0.543 0.346
Na 0.771 0.957 0.846
Cu 0.500 0.000 0.500
Cu 0.500 0.500 0.000
F 0.268 0.211 0.921
F 0.268 0.289 0.421
F 0.269 0.680 0.845
F 0.269 0.820 0.345
F 0.731 0.180 0.655
F 0.731 0.320 0.155
F 0.732 0.711 0.579
F 0.732 0.789 0.079


7.
Below is a relaxed Na2CuF4 crystal, with properties calculated at the PBE-GGA level.

Computed properties:
The space group is Cmmm, No. 65. For the energy above the most stable polymorph in this dataset, the calculation gives 0.119 eV per atom.

abc: 5.739 5.739 3.638
angles: 90.00 90.00 136.83
Sites, in units of the cell vectors:
Na 0.152 0.848 0.000
Na 0.848 0.152 0.000
Cu 0.500 0.500 0.500
F 0.000 0.000 0.500
F 0.316 0.684 0.500
F 0.500 0.500 0.000
F 0.684 0.316 0.500


8.
Below is a relaxed NaSr7Cu8S8F8 crystal, with properties calculated at the PBE-GGA level.

Computed properties:
The calculation puts the calculated total energy at -4.8364 eV per atom. The space group is P4mm, No. 99.

abc: 7.848 7.848 8.643
angles: 90.00 90.00 90.00
Sites, in units of the cell vectors:
Na 0.000 0.000 0.000
Sr 0.000 0.500 0.031
Sr 0.248 0.248 0.697
Sr 0.248 0.752 0.697
Sr 0.500 0.000 0.031
Sr 0.500 0.500 0.034
Sr 0.752 0.248 0.697
Sr 0.752 0.752 0.697
Cu 0.000 0.248 0.359
Cu 0.000 0.752 0.359
Cu 0.248 0.000 0.359
Cu 0.252 0.500 0.363
Cu 0.500 0.252 0.363
Cu 0.500 0.748 0.363
Cu 0.748 0.500 0.363
Cu 0.752 0.000 0.359
S 0.000 0.000 0.521
S 0.000 0.500 0.522
S 0.251 0.251 0.204
S 0.251 0.749 0.204
S 0.500 0.000 0.522
S 0.500 0.500 0.527
S 0.749 0.251 0.204
S 0.749 0.749 0.204
F 0.000 0.252 0.861
F 0.000 0.748 0.861
F 0.251 0.500 0.863
F 0.252 0.000 0.861
F 0.500 0.251 0.863
F 0.500 0.749 0.863
F 0.748 0.000 0.861
F 0.749 0.500 0.863


9.
Below is a relaxed Na2ScCuF7 crystal, with properties calculated at the PBE-GGA level.

Computed properties:
The calculation puts the calculated total energy at -5.1755 eV per atom. The space group is Pnma, No. 62.

abc: 10.033 7.117 7.297
angles: 90.00 90.00 90.00
Sites, in units of the cell vectors:
Na 0.000 0.000 0.000
Na 0.000 0.500 0.000
Na 0.238 0.250 0.265
Na 0.262 0.750 0.765
Na 0.500 0.000 0.500
Na 0.500 0.500 0.500
Na 0.738 0.250 0.235
Na 0.762 0.750 0.735
Sc 0.222 0.250 0.739
Sc 0.278 0.750 0.239
Sc 0.722 0.250 0.761
Sc 0.778 0.750 0.261
Cu 0.000 0.000 0.500
Cu 0.000 0.500 0.500
Cu 0.500 0.000 0.000
Cu 0.500 0.500 0.000
F 0.083 0.250 0.503
F 0.121 0.509 0.726
F 0.121 0.991 0.726
F 0.141 0.250 0.996
F 0.142 0.555 0.329
F 0.142 0.945 0.329
F 0.151 0.750 0.027
F 0.349 0.250 0.527
F 0.358 0.055 0.829
F 0.358 0.445 0.829
F 0.359 0.750 0.496
F 0.379 0.009 0.226
F 0.379 0.491 0.226
F 0.417 0.750 0.003
F 0.583 0.250 0.997
F 0.621 0.509 0.774
F 0.621 0.991 0.774
F 0.641 0.250 0.504
F 0.642 0.555 0.171
F 0.642 0.945 0.171
F 0.651 0.750 0.473
F 0.849 0.250 0.973
F 0.858 0.055 0.671
F 0.858 0.445 0.671
F 0.859 0.750 0.004
F 0.879 0.009 0.274
F 0.879 0.491 0.274
F 0.917 0.750 0.497


10.
Below is a relaxed Na2ZrCuF7 crystal, with properties calculated at the PBE-GGA level.

Computed properties:
The calculation puts the calculated total energy at -5.2688 eV per atom. The space group is Imma, No. 74.

abc: 7.335 7.335 7.335
angles: 121.33 90.30 118.35
Sites, in units of the cell vectors:
Na 0.000 0.000 0.000
Na 0.500 0.000 0.000
Na 0.500 0.000 0.500
Na 0.500 0.500 0.500
Zr 0.000 0.500 0.500
Zr 0.500 0.500 0.000
Cu 0.000 0.000 0.500
Cu 0.000 0.500 0.000
F 0.092 0.253 0.403
F 0.092 0.689 0.840
F 0.113 0.863 0.250
F 0.341 0.747 0.594
F 0.347 0.253 0.094
F 0.350 0.253 0.660
F 0.350 0.689 0.097
F 0.650 0.311 0.903
F 0.650 0.747 0.340
F 0.653 0.747 0.906
F 0.659 0.253 0.406
F 0.887 0.137 0.750
F 0.908 0.311 0.160
F 0.908 0.747 0.597


11.
Below is a relaxed Nd3CuF crystal, with properties calculated at the PBE-GGA level.

Computed properties:
The calculation puts the calculated total energy at -4.7679 eV per atom. The space group is Pm-3m, No. 221.

abc: 4.903 4.903 4.903
angles: 90.00 90.00 90.00
Sites, in units of the cell vectors:
Nd 0.000 0.000 0.500
Nd 0.000 0.500 0.000
Nd 0.500 0.000 0.000
Cu 0.500 0.500 0.500
F 0.000 0.000 0.000


12.
Below is a relaxed Cu2OsF8 crystal, with properties calculated at the PBE-GGA level.

Computed properties:
The calculation puts the calculated total energy at -4.4134 eV per atom. The space group is I-4, No. 82.

abc: 6.134 6.134 6.134
angles: 134.73 134.73 65.95
Sites, in units of the cell vectors:
Cu 0.180 0.180 0.000
Cu 0.820 0.820 0.000
Os 0.500 0.500 0.000
F 0.122 0.187 0.628
F 0.212 0.753 0.100
F 0.247 0.347 0.459
F 0.506 0.878 0.064
F 0.559 0.494 0.372
F 0.653 0.112 0.900
F 0.813 0.441 0.936
F 0.888 0.788 0.541


13.
Below is a relaxed Rb2CuOsF6 crystal, with properties calculated at the PBE-GGA level.

Computed properties:
The calculation puts the calculated total energy at -4.4407 eV per atom. The space group is P-31c, No. 163.

abc: 5.842 5.842 10.304
angles: 90.00 90.00 120.00
Sites, in units of the cell vectors:
Rb 0.333 0.667 0.077
Rb 0.333 0.667 0.423
Rb 0.667 0.333 0.577
Rb 0.667 0.333 0.923
Cu 0.000 0.000 0.250
Cu 0.000 0.000 0.750
Os 0.333 0.667 0.750
Os 0.667 0.333 0.250
F 0.095 0.351 0.866
F 0.095 0.743 0.634
F 0.257 0.351 0.634
F 0.257 0.905 0.866
F 0.351 0.095 0.366
F 0.351 0.257 0.134
F 0.649 0.743 0.866
F 0.649 0.905 0.634
F 0.743 0.095 0.134
F 0.743 0.649 0.366
F 0.905 0.257 0.366
F 0.905 0.649 0.134


14.
Below is a relaxed Tl2CuOsF6 crystal, with properties calculated at the PBE-GGA level.

Computed properties:
The calculation puts the calculated total energy at -4.4371 eV per atom. The space group is Fm-3m, No. 225.

abc: 5.842 5.842 5.842
angles: 60.00 60.00 60.00
Sites, in units of the cell vectors:
Tl 0.250 0.250 0.250
Tl 0.750 0.750 0.750
Cu 0.000 0.000 0.000
Os 0.500 0.500 0.500
F 0.253 0.253 0.747
F 0.253 0.747 0.253
F 0.253 0.747 0.747
F 0.747 0.253 0.253
F 0.747 0.253 0.747
F 0.747 0.747 0.253


15.
Below is a relaxed CuPF7 crystal, with properties calculated at the PBE-GGA level.

Computed properties:
The calculation puts the calculated total energy at -4.5534 eV per atom. The space group is Imma, No. 74.

abc: 6.703 6.703 6.703
angles: 120.09 81.08 130.83
Sites, in units of the cell vectors:
Cu 0.500 0.000 0.000
Cu 0.500 0.500 0.500
P 0.000 0.000 0.000
P 0.500 0.000 0.500
F 0.099 0.158 0.288
F 0.099 0.811 0.941
F 0.223 0.717 0.506
F 0.289 0.283 0.006
F 0.359 0.609 0.750
F 0.370 0.158 0.559
F 0.370 0.811 0.212
F 0.630 0.189 0.788
F 0.630 0.842 0.441
F 0.641 0.391 0.250
F 0.711 0.717 0.994
F 0.777 0.283 0.494
F 0.901 0.189 0.059
F 0.901 0.842 0.712


16.
Below is a relaxed PaCu2F8 crystal, with properties calculated at the PBE-GGA level.

Computed properties:
The calculation puts the calculated total energy at -5.5117 eV per atom. The space group is I-4, No. 82.

abc: 6.379 6.379 6.379
angles: 134.76 134.76 65.91
Sites, in units of the cell vectors:
Pa 0.000 0.000 0.000
Cu 0.315 0.315 0.000
Cu 0.685 0.685 0.000
F 0.009 0.395 0.060
F 0.051 0.991 0.387
F 0.163 0.594 0.890
F 0.335 0.949 0.940
F 0.406 0.296 0.569
F 0.605 0.665 0.613
F 0.704 0.273 0.110
F 0.727 0.837 0.431


17.
Below is a relaxed CuPbSF crystal, with properties calculated at the PBE-GGA level.

Computed properties:
The space group is R-3m, No. 166. For the energy above the most stable polymorph in this dataset, the calculation gives 0.031 eV per atom.

abc: 10.728 10.728 10.728
angles: 21.61 21.61 21.61
Sites, in units of the cell vectors:
Cu 0.195 0.195 0.195
Cu 0.805 0.805 0.805
Pb 0.392 0.392 0.392
Pb 0.608 0.608 0.608
S 0.118 0.118 0.118
S 0.882 0.882 0.882
F 0.306 0.306 0.306
F 0.694 0.694 0.694


18.
Below is a relaxed CuPbSF crystal, with properties calculated at the PBE-GGA level.

Computed properties:
The space group is P4/nmm, No. 129. For the energy above the most stable polymorph in this dataset, the calculation gives 0.589 eV per atom.

abc: 4.529 4.529 8.662
angles: 90.00 90.00 90.00
Sites, in units of the cell vectors:
Cu 0.250 0.250 0.040
Cu 0.750 0.750 0.960
Pb 0.250 0.750 0.500
Pb 0.750 0.250 0.500
S 0.250 0.250 0.290
S 0.750 0.750 0.710
F 0.250 0.750 0.000
F 0.750 0.250 0.000